The following is a PBE+U calculation of crystalline Li2Ni3O6 at its relaxed geometry, from Alexandria via LeMat-Bulk.

energy above the lowest structure with this stoichiometry	0.00	eV/f.u.
crystal system	triclinic
density	4.60	Mg/m³
space group	P-1 (2)

Cell: 2.8691 5.8132 6.5930 Å, 73.62 78.38 87.68°
Last column: nearest neighbours and their distance in Å.
Element x y z (fractional)
O  0.7920  0.4227  0.3623  2 Ni 1.88-1.90, 2 Li 2.05
O  0.1114  0.0824  0.6968  2 Ni 1.88-1.90
O  0.5062  0.7821  0.0208  3 Ni 1.89-1.93, 1 Li 2.06
O  0.4938  0.2179  0.9792  3 Ni 1.89-1.93, 1 Li 2.06
O  0.2080  0.5773  0.6377  2 Ni 1.88-1.90, 2 Li 2.05
O  0.8886  0.9176  0.3032  2 Ni 1.88-1.90
Ni  0.3414  0.6686  0.3316  4 O 1.88-1.93
Ni  0.6586  0.3314  0.6684  4 O 1.88-1.93
Ni  0.0000  0.0000  0.0000  6 O 1.88-1.90
Li  0.3372  0.1966  0.3032  5 O 2.05-2.22
Li  0.6628  0.8034  0.6968  5 O 2.05-2.22